A plane-wave DFT calculation with PBE-GGA was carried out for a geometry-optimized Pr2SmSn structure.

Lattice parameters (Å, degrees): 3.683 3.683 11.475 80.77 80.77 60.00
Positions (direct):
Pr 0.078 0.078 0.765
Pr 0.255 0.255 0.234
Sm 0.500 0.500 0.500
Sn 0.666 0.666 0.001

Summary:
D(E_F) = 3.8 states/eV/f.u.
ρ = 6.91 g cm⁻³
E above lowest polymorph = 256 meV per atom
Space group = R3m (160)